Ti4HgBr8 | GGA-PBE | optimized geometry

Cell lengths 10.572, 10.572, 14.514 Å; angles 128.81, 128.81, 18.45 degrees
Atoms (fractional coordinates):
Ti  0.000  0.000  0.000
Ti  0.391  0.391  0.802
Ti  0.502  0.502  0.408
Ti  0.887  0.887  0.392
Hg  0.695  0.695  0.900
Br  0.043  0.043  0.573
Br  0.049  0.049  0.327
Br  0.340  0.340  0.473
Br  0.346  0.346  0.226
Br  0.400  0.400  0.988
Br  0.620  0.620  0.124
Br  0.771  0.771  0.677
Br  0.990  0.990  0.814

Results
The formation energy from raw total energies is -996 meV per atom. As for the space-group type: No. 8. Its density is 4.32 g/cm3.